Entry 1:
# AgAsSe, relaxed, DFT PBE
data_AgAsSe
_cell_length_a 6.4557
_cell_length_b 6.4557
_cell_length_c 6.4557
_cell_angle_alpha 90.00
_cell_angle_beta 90.00
_cell_angle_gamma 90.00
_space_group_name_H-M_alt 'F -4 3 m'
_space_group_IT_number 216
_space_group_name_Hall 'F -4 2 3'
loop_
_atom_site_label
_atom_site_fract_x
_atom_site_fract_y
_atom_site_fract_z
Ag1 0.0000 0.0000 0.0000
As1 0.2500 0.2500 0.7500
Se1 0.2500 0.2500 0.2500
# mass density: 6462 kg/m3
# E_form (uncorrected): 0.302 eV per atom

Entry 2:
# Ag4AsSe4, relaxed, DFT PBE
data_Ag4AsSe4
_cell_length_a 6.4697
_cell_length_b 6.4697
_cell_length_c 10.4313
_cell_angle_alpha 90.00
_cell_angle_beta 90.00
_cell_angle_gamma 90.00
_space_group_name_H-M_alt 'I -4 2 m'
_space_group_IT_number 121
_space_group_name_Hall 'I -4 2'
loop_
_atom_site_label
_atom_site_fract_x
_atom_site_fract_y
_atom_site_fract_z
Ag1 0.0000 0.0000 0.1388
Ag2 0.0000 0.5000 0.0000
As1 0.0000 0.0000 0.5000
Se1 0.2143 0.2143 0.6515
# mass density: 6254 kg/m3
# E_form (uncorrected): 0.050 eV per atom

Entry 3:
# Ag2AsSe4, relaxed, DFT PBE
data_Ag2AsSe4
_cell_length_a 7.3589
_cell_length_b 7.0885
_cell_length_c 7.7114
_cell_angle_alpha 90.00
_cell_angle_beta 113.93
_cell_angle_gamma 90.00
_space_group_name_H-M_alt 'P 1 21/m 1'
_space_group_IT_number 11
loop_
_space_group_symop_operation_xyz
'x,y,z'
'-x,-y,-z'
'-x,y+1/2,-z'
'x,-y+1/2,z'
loop_
_atom_site_label
_atom_site_fract_x
_atom_site_fract_y
_atom_site_fract_z
Ag1 0.0463 0.2500 0.1786
Ag2 0.4347 0.7500 0.8828
As1 0.3875 0.7500 0.3106
Se1 0.1631 0.2500 0.5512
Se2 0.1792 0.7500 0.5150
Se3 0.2698 0.5062 0.0742
# mass density: 5478 kg/m3
# relative energy among the computed polymorphs: 0 meV/atom
# E_form (uncorrected): 0.027 eV per atom

Entry 4:
# AgAs2Se3, relaxed, DFT PBE
data_AgAs2Se3
_cell_length_a 11.2586
_cell_length_b 6.5593
_cell_length_c 8.1459
_cell_angle_alpha 90.00
_cell_angle_beta 90.00
_cell_angle_gamma 90.00
_space_group_name_H-M_alt 'C m c 21'
_space_group_IT_number 36
loop_
_space_group_symop_operation_xyz
'x,y,z'
'-x,-y,z+1/2'
'-x,y,z'
'x,-y,z+1/2'
'x+1/2,y+1/2,z'
'-x+1/2,-y+1/2,z+1/2'
'-x+1/2,y+1/2,z'
'x+1/2,-y+1/2,z+1/2'
loop_
_atom_site_label
_atom_site_fract_x
_atom_site_fract_y
_atom_site_fract_z
Ag1 0.0000 0.0727 0.0000
As1 0.1493 0.3392 0.5680
Se1 0.0000 0.4643 0.2141
Se2 0.1655 0.0369 0.7395
# mass density: 5461 kg/m3
# E_form (uncorrected): 0.039 eV per atom

Entry 5:
# Ag2AsSe5, relaxed, DFT PBE
data_Ag2AsSe5
_cell_length_a 5.6383
_cell_length_b 6.4775
_cell_length_c 7.5274
_cell_angle_alpha 66.51
_cell_angle_beta 72.75
_cell_angle_gamma 84.06
_space_group_name_H-M_alt 'P 1'
_space_group_IT_number 1
loop_
_space_group_symop_operation_xyz
'x,y,z'
loop_
_atom_site_label
_atom_site_fract_x
_atom_site_fract_y
_atom_site_fract_z
Ag1 0.0000 0.0000 0.0000
Ag2 0.4653 0.4878 0.3794
As1 0.5336 0.5320 0.9452
Se1 0.0626 0.2453 0.6202
Se2 0.2130 0.8860 0.2890
Se3 0.5501 0.1404 0.1896
Se4 0.7472 0.5129 0.6064
Se5 0.8716 0.5761 0.0568
# mass density: 4728 kg/m3
# E_form (uncorrected): 0.011 eV per atom

Entry 6:
# Ag4AsSe3, relaxed, DFT PBE
data_Ag4AsSe3
_cell_length_a 13.2612
_cell_length_b 6.8703
_cell_length_c 8.6752
_cell_angle_alpha 90.00
_cell_angle_beta 99.48
_cell_angle_gamma 90.00
_space_group_name_H-M_alt 'C 1 c 1'
_space_group_IT_number 9
loop_
_space_group_symop_operation_xyz
'x,y,z'
'x,-y,z+1/2'
'x+1/2,y+1/2,z'
'x+1/2,-y+1/2,z+1/2'
loop_
_atom_site_label
_atom_site_fract_x
_atom_site_fract_y
_atom_site_fract_z
Ag1 0.0000 0.1164 0.0000
Ag2 0.1062 0.1551 0.3144
Ag3 0.1111 0.2984 0.7618
Ag4 0.2448 0.3399 0.1096
As1 0.4037 0.1979 0.7131
Se1 0.0160 0.4731 0.4263
Se2 0.1946 0.0349 0.6017
Se3 0.3291 0.4548 0.8556
# mass density: 6333 kg/m3
# E_form (uncorrected): -0.018 eV per atom

Entry 7:
# AgAsSe, relaxed, DFT PBE
data_AgAsSe
_cell_length_a 6.5788
_cell_length_b 6.5788
_cell_length_c 6.5788
_cell_angle_alpha 90.00
_cell_angle_beta 90.00
_cell_angle_gamma 90.00
_space_group_name_H-M_alt 'F -4 3 m'
_space_group_IT_number 216
_space_group_name_Hall 'F -4 2 3'
loop_
_atom_site_label
_atom_site_fract_x
_atom_site_fract_y
_atom_site_fract_z
Ag1 0.0000 0.0000 0.0000
As1 0.0000 0.0000 0.5000
Se1 0.2500 0.2500 0.7500
# mass density: 6106 kg/m3
# E_form (uncorrected): 0.403 eV per atom

Entry 8:
# Ag2As2Se, relaxed, DFT PBE
data_Ag2As2Se
_cell_length_a 7.8952
_cell_length_b 7.8952
_cell_length_c 3.2454
_cell_angle_alpha 90.00
_cell_angle_beta 90.00
_cell_angle_gamma 90.00
_space_group_name_H-M_alt 'P 4/m b m'
_space_group_IT_number 127
_space_group_name_Hall '-P 4 2ab'
loop_
_atom_site_label
_atom_site_fract_x
_atom_site_fract_y
_atom_site_fract_z
Ag1 0.1218 0.3782 0.0000
As1 0.1863 0.6863 0.5000
Se1 0.0000 0.0000 0.5000
# mass density: 7298 kg/m3
# relative energy among the computed polymorphs: 0 meV/atom
# E_form (uncorrected): 0.272 eV per atom